1.
Computed, not measured: a relaxed LiVI2O crystal at the GGA+U level of DFT.

Structure (CIF):
```
data_LiVI2O
_space_group_name_H-M_alt 'P 1'
_space_group_IT_number 1
_space_group_name_Hall 'P 1'
_cell_length_a 5.476
_cell_length_b 5.476
_cell_length_c 3.743
_cell_angle_alpha 90.00
_cell_angle_beta 90.00
_cell_angle_gamma 90.00
loop_
_atom_site_label
_atom_site_type_symbol
_atom_site_fract_x
_atom_site_fract_y
_atom_site_fract_z
O1 O 0.000 0.000 0.500
I1 I 0.500 0.000 0.000
Li1 Li 0.000 0.000 0.000
I2 I 0.000 0.500 0.000
V1 V 0.500 0.500 0.500
```

Crystal system: tetragonal
Excess energy over the best structure of this formula in the dataset: 886 meV per atom
M_tot: 2.000 μB per cell

=====

2.
Computed, not measured: a relaxed Li2VIO crystal at the GGA+U level of DFT.

Structure (CIF):
```
data_Li2VIO
_space_group_name_H-M_alt 'P 1'
_space_group_IT_number 1
_space_group_name_Hall 'P 1'
_cell_length_a 5.135
_cell_length_b 4.476
_cell_length_c 5.135
_cell_angle_alpha 90.00
_cell_angle_beta 90.00
_cell_angle_gamma 90.00
loop_
_atom_site_label
_atom_site_type_symbol
_atom_site_fract_x
_atom_site_fract_y
_atom_site_fract_z
V1 V 0.500 0.500 0.500
O1 O 0.000 0.500 0.000
I1 I 0.000 0.000 0.000
Li1 Li 0.500 0.000 0.000
Li2 Li 0.000 0.000 0.500
```

Energy: -3.117 eV/atom
Crystal system: tetragonal
M_tot: 3.948 μB per cell

=====

3.
Computed, not measured: a relaxed LiVI2O8 crystal at the GGA+U level of DFT.

Structure (CIF):
```
data_LiVI2O8
_space_group_name_H-M_alt 'P 1'
_space_group_IT_number 1
_space_group_name_Hall 'P 1'
_cell_length_a 5.307
_cell_length_b 10.055
_cell_length_c 13.776
_cell_angle_alpha 62.16
_cell_angle_beta 90.00
_cell_angle_gamma 90.00
loop_
_atom_site_label
_atom_site_type_symbol
_atom_site_fract_x
_atom_site_fract_y
_atom_site_fract_z
O1 O 0.576 0.303 0.678
V1 V 0.776 0.733 0.551
O2 O 0.367 0.428 0.802
O3 O 0.088 0.605 0.077
O4 O 0.120 0.357 0.519
I1 I 0.686 0.075 0.331
V2 V 0.724 0.733 0.051
O5 O 0.428 0.926 0.793
I2 I 0.199 0.416 0.171
O6 O 0.633 0.572 0.198
I3 I 0.814 0.075 0.831
O7 O 0.444 0.114 0.564
O8 O 0.571 0.807 0.661
O9 O 0.482 0.847 0.034
O10 O 0.072 0.926 0.293
O11 O 0.928 0.074 0.707
O12 O 0.572 0.074 0.207
I4 I 0.314 0.925 0.669
V3 V 0.276 0.267 0.949
O13 O 0.412 0.605 0.577
O14 O 0.924 0.303 0.178
O15 O 0.929 0.807 0.161
O16 O 0.133 0.428 0.302
Li1 Li 0.766 0.236 0.564
O17 O 0.429 0.193 0.339
O18 O 0.056 0.114 0.064
O19 O 0.944 0.886 0.936
O20 O 0.018 0.847 0.534
O21 O 0.380 0.357 0.019
V4 V 0.224 0.267 0.449
O22 O 0.556 0.886 0.436
O23 O 0.912 0.395 0.923
I5 I 0.301 0.416 0.671
O24 O 0.518 0.153 0.966
O25 O 0.424 0.697 0.322
O26 O 0.076 0.697 0.822
Li2 Li 0.734 0.236 0.064
O27 O 0.620 0.643 0.981
Li3 Li 0.234 0.764 0.436
I6 I 0.801 0.584 0.829
O28 O 0.588 0.395 0.423
O29 O 0.982 0.153 0.466
Li4 Li 0.266 0.764 0.936
O30 O 0.880 0.643 0.481
O31 O 0.867 0.572 0.698
O32 O 0.071 0.193 0.839
I7 I 0.186 0.925 0.169
I8 I 0.699 0.584 0.329
```

Energy: -5.335 eV/atom
Crystal system: monoclinic
M_tot: 0.000 μB per cell

=====

4.
Computed, not measured: a relaxed LiVI2O crystal at the GGA+U level of DFT.

Structure (CIF):
```
data_LiVI2O
_space_group_name_H-M_alt 'P 1'
_space_group_IT_number 1
_space_group_name_Hall 'P 1'
_cell_length_a 5.770
_cell_length_b 5.770
_cell_length_c 3.757
_cell_angle_alpha 90.00
_cell_angle_beta 90.00
_cell_angle_gamma 90.00
loop_
_atom_site_label
_atom_site_type_symbol
_atom_site_fract_x
_atom_site_fract_y
_atom_site_fract_z
Li1 Li 0.500 0.500 0.500
I1 I 0.500 0.000 0.000
O1 O 0.000 0.000 0.500
I2 I 0.000 0.500 0.000
V1 V 0.000 0.000 0.000
```

Crystal system: tetragonal
Excess energy over the best structure of this formula in the dataset: 0 meV per atom
M_tot: 2.000 μB per cell

=====

5.
Computed, not measured: a relaxed LiWI2O crystal at the GGA+U level of DFT.

Structure (CIF):
```
data_LiWI2O
_space_group_name_H-M_alt 'P 1'
_space_group_IT_number 1
_space_group_name_Hall 'P 1'
_cell_length_a 6.027
_cell_length_b 6.027
_cell_length_c 3.926
_cell_angle_alpha 90.00
_cell_angle_beta 90.00
_cell_angle_gamma 90.00
loop_
_atom_site_label
_atom_site_type_symbol
_atom_site_fract_x
_atom_site_fract_y
_atom_site_fract_z
Li1 Li 0.500 0.500 0.500
O1 O 0.000 0.000 0.500
I1 I 0.000 0.500 0.000
W1 W 0.000 0.000 0.000
I2 I 0.500 0.000 0.000
```

Crystal system: tetragonal
Excess energy over the best structure of this formula in the dataset: 0 meV per atom
M_tot: 2.997 μB per cell

=====

6.
Computed, not measured: a relaxed LiWIO2 crystal at the GGA+U level of DFT.

Structure (CIF):
```
data_LiWIO2
_space_group_name_H-M_alt 'P 1'
_space_group_IT_number 1
_space_group_name_Hall 'P 1'
_cell_length_a 4.076
_cell_length_b 4.076
_cell_length_c 4.984
_cell_angle_alpha 90.00
_cell_angle_beta 90.00
_cell_angle_gamma 90.00
loop_
_atom_site_label
_atom_site_type_symbol
_atom_site_fract_x
_atom_site_fract_y
_atom_site_fract_z
Li1 Li 0.000 0.000 0.000
O1 O 0.500 0.000 0.000
I1 I 0.000 0.000 0.500
W1 W 0.500 0.500 0.500
O2 O 0.000 0.500 0.000
```

Crystal system: tetragonal
Excess energy over the best structure of this formula in the dataset: 1683 meV per atom
M_tot: 2.000 μB per cell

=====

7.
Computed, not measured: a relaxed LiWIO2 crystal at the GGA+U level of DFT.

Structure (CIF):
```
data_LiWIO2
_space_group_name_H-M_alt 'P 1'
_space_group_IT_number 1
_space_group_name_Hall 'P 1'
_cell_length_a 4.162
_cell_length_b 5.695
_cell_length_c 4.162
_cell_angle_alpha 90.00
_cell_angle_beta 90.00
_cell_angle_gamma 90.00
loop_
_atom_site_label
_atom_site_type_symbol
_atom_site_fract_x
_atom_site_fract_y
_atom_site_fract_z
O1 O 0.000 0.000 0.500
I1 I 0.000 0.000 0.000
Li1 Li 0.500 0.500 0.500
O2 O 0.500 0.000 0.000
W1 W 0.000 0.500 0.000
```

Crystal system: tetragonal
Excess energy over the best structure of this formula in the dataset: 1866 meV per atom
M_tot: 4.046 μB per cell

=====

8.
Computed, not measured: a relaxed LiWIO2 crystal at the GGA+U level of DFT.

Structure (CIF):
```
data_LiWIO2
_space_group_name_H-M_alt 'P 1'
_space_group_IT_number 1
_space_group_name_Hall 'P 1'
_cell_length_a 3.921
_cell_length_b 3.921
_cell_length_c 7.474
_cell_angle_alpha 90.00
_cell_angle_beta 90.00
_cell_angle_gamma 90.00
loop_
_atom_site_label
_atom_site_type_symbol
_atom_site_fract_x
_atom_site_fract_y
_atom_site_fract_z
O1 O 0.500 0.000 0.000
Li1 Li 0.500 0.500 0.500
I1 I 0.000 0.000 0.500
O2 O 0.000 0.500 0.000
W1 W 0.000 0.000 0.000
```

Crystal system: tetragonal
Excess energy over the best structure of this formula in the dataset: 0 meV per atom
M_tot: 2.000 μB per cell

=====

9.
Computed, not measured: a relaxed LiWI2O crystal at the GGA+U level of DFT.

Structure (CIF):
```
data_LiWI2O
_space_group_name_H-M_alt 'P 1'
_space_group_IT_number 1
_space_group_name_Hall 'P 1'
_cell_length_a 5.537
_cell_length_b 5.537
_cell_length_c 3.787
_cell_angle_alpha 90.00
_cell_angle_beta 90.00
_cell_angle_gamma 90.00
loop_
_atom_site_label
_atom_site_type_symbol
_atom_site_fract_x
_atom_site_fract_y
_atom_site_fract_z
I1 I 0.000 0.500 0.000
I2 I 0.500 0.000 0.000
Li1 Li 0.000 0.000 0.000
W1 W 0.500 0.500 0.500
O1 O 0.000 0.000 0.500
```

Crystal system: tetragonal
Excess energy over the best structure of this formula in the dataset: 911 meV per atom
M_tot: 2.967 μB per cell

=====

10.
Computed, not measured: a relaxed LiWIO6 crystal at the GGA+U level of DFT.

Structure (CIF):
```
data_LiWIO6
_space_group_name_H-M_alt 'P 1'
_space_group_IT_number 1
_space_group_name_Hall 'P 1'
_cell_length_a 5.392
_cell_length_b 5.392
_cell_length_c 9.533
_cell_angle_alpha 90.00
_cell_angle_beta 90.00
_cell_angle_gamma 120.00
loop_
_atom_site_label
_atom_site_type_symbol
_atom_site_fract_x
_atom_site_fract_y
_atom_site_fract_z
O1 O 0.981 0.627 0.863
O2 O 0.019 0.646 0.363
Li1 Li 0.000 0.000 0.500
Li2 Li 0.000 0.000 0.000
I1 I 0.667 0.333 0.250
O3 O 0.373 0.354 0.863
O4 O 0.646 0.019 0.863
W1 W 0.667 0.333 0.750
O5 O 0.354 0.981 0.137
O6 O 0.981 0.354 0.637
O7 O 0.373 0.019 0.637
O8 O 0.354 0.373 0.363
O9 O 0.646 0.627 0.637
O10 O 0.627 0.981 0.363
O11 O 0.627 0.646 0.137
W2 W 0.333 0.667 0.250
O12 O 0.019 0.373 0.137
I2 I 0.333 0.667 0.750
```

Energy: -5.723 eV/atom
Crystal system: trigonal
M_tot: 0.000 μB per cell